(1)
# PBE-GGA Pm3SnRh, optimized geometry
data_Pm3SnRh
_chemical_formula_sum 'Pm12 Sn4 Rh4'
_space_group_name_H-M_alt 'P 1'
_space_group_IT_number 1
_space_group_name_Hall 'P 1'
_cell_length_a 5.973
_cell_length_b 8.489
_cell_length_c 10.679
_cell_angle_alpha 90.00
_cell_angle_beta 90.00
_cell_angle_gamma 90.00
loop_
_atom_site_label
_atom_site_type_symbol
_atom_site_fract_x
_atom_site_fract_y
_atom_site_fract_z
_atom_site_occupancy
Pm1 Pm 0.990 0.860 0.598 1
Sn1 Sn 0.000 0.500 0.500 1
Pm2 Pm 0.787 0.288 0.750 1
Pm3 Pm 0.713 0.788 0.250 1
Pm4 Pm 0.213 0.712 0.250 1
Pm5 Pm 0.510 0.360 0.402 1
Pm6 Pm 0.010 0.140 0.402 1
Pm7 Pm 0.490 0.640 0.902 1
Sn2 Sn 0.000 0.500 0.000 1
Rh1 Rh 0.517 0.910 0.750 1
Pm8 Pm 0.990 0.860 0.902 1
Rh2 Rh 0.483 0.090 0.250 1
Rh3 Rh 0.017 0.590 0.750 1
Pm9 Pm 0.490 0.640 0.598 1
Pm10 Pm 0.010 0.140 0.098 1
Rh4 Rh 0.983 0.410 0.250 1
Pm11 Pm 0.510 0.360 0.098 1
Sn3 Sn 0.500 0.000 0.000 1
Sn4 Sn 0.500 0.000 0.500 1
Pm12 Pm 0.287 0.212 0.750 1
# E above lowest polymorph (eV/atom): 0.1093
# Symmetry: Pnma (62)
# Total magnetic moment (μB per formula unit): 0.00
# ΔE_f (meV per atom): -472

***

(2)
# PBE-GGA Pm4Sn5Rh2, optimized geometry
data_Pm4Sn5Rh2
_chemical_formula_sum 'Pm4 Sn5 Rh2'
_space_group_name_H-M_alt 'P 1'
_space_group_IT_number 1
_space_group_name_Hall 'P 1'
_cell_length_a 3.881
_cell_length_b 7.824
_cell_length_c 9.394
_cell_angle_alpha 92.29
_cell_angle_beta 90.00
_cell_angle_gamma 90.00
loop_
_atom_site_label
_atom_site_type_symbol
_atom_site_fract_x
_atom_site_fract_y
_atom_site_fract_z
_atom_site_occupancy
Pm1 Pm 0.500 0.780 0.579 1
Sn1 Sn 0.000 0.446 0.660 1
Pm2 Pm 0.500 0.798 0.149 1
Rh1 Rh 0.000 0.084 0.638 1
Rh2 Rh 0.000 0.916 0.362 1
Sn2 Sn 0.000 0.500 0.000 1
Pm3 Pm 0.500 0.202 0.851 1
Pm4 Pm 0.500 0.220 0.421 1
Sn3 Sn 0.000 0.865 0.866 1
Sn4 Sn 0.000 0.135 0.134 1
Sn5 Sn 0.000 0.554 0.340 1
# Symmetry: P2/m (10)
# Total magnetic moment (μB per formula unit): 0.00
# ΔE_f (meV per atom): -698

***

(3)
# PBE-GGA PmSnRh, optimized geometry
data_PmSnRh
_chemical_formula_sum 'Pm6 Sn6 Rh6'
_space_group_name_H-M_alt 'P 1'
_space_group_IT_number 1
_space_group_name_Hall 'P 1'
_cell_length_a 9.652
_cell_length_b 8.438
_cell_length_c 7.777
_cell_angle_alpha 62.56
_cell_angle_beta 90.00
_cell_angle_gamma 124.89
loop_
_atom_site_label
_atom_site_type_symbol
_atom_site_fract_x
_atom_site_fract_y
_atom_site_fract_z
_atom_site_occupancy
Sn1 Sn 0.569 0.933 0.284 1
Sn2 Sn 0.927 0.612 0.444 1
Pm1 Pm 0.927 0.000 0.500 1
Pm2 Pm 0.927 0.000 0.000 1
Pm3 Pm 0.220 0.660 0.160 1
Sn3 Sn 0.284 0.336 0.082 1
Sn4 Sn 0.948 0.664 0.918 1
Rh1 Rh 0.541 0.712 0.094 1
Pm4 Pm 0.560 0.340 0.320 1
Pm5 Pm 0.220 0.660 0.680 1
Sn5 Sn 0.315 0.388 0.556 1
Rh2 Rh 0.829 0.288 0.306 1
Pm6 Pm 0.560 0.340 0.840 1
Rh3 Rh 0.829 0.288 0.906 1
Rh4 Rh 0.316 0.023 0.738 1
Rh5 Rh 0.293 0.977 0.262 1
Rh6 Rh 0.541 0.712 0.694 1
Sn6 Sn 0.636 0.067 0.716 1
# E above lowest polymorph (eV/atom): 0.1755
# Symmetry: Ima2 (46)
# Total magnetic moment (μB per formula unit): 0.00
# ΔE_f (meV per atom): -687

***

(4)
# PBE-GGA PmSnRh4, optimized geometry
data_PmSnRh4
_chemical_formula_sum 'Pm1 Sn1 Rh4'
_space_group_name_H-M_alt 'P 1'
_space_group_IT_number 1
_space_group_name_Hall 'P 1'
_cell_length_a 5.328
_cell_length_b 5.328
_cell_length_c 5.328
_cell_angle_alpha 60.00
_cell_angle_beta 60.00
_cell_angle_gamma 60.00
loop_
_atom_site_label
_atom_site_type_symbol
_atom_site_fract_x
_atom_site_fract_y
_atom_site_fract_z
_atom_site_occupancy
Rh1 Rh 0.626 0.122 0.626 1
Rh2 Rh 0.626 0.626 0.626 1
Rh3 Rh 0.626 0.626 0.122 1
Pm1 Pm 0.250 0.250 0.250 1
Rh4 Rh 0.122 0.626 0.626 1
Sn1 Sn 0.000 0.000 0.000 1
# E above lowest polymorph (eV/atom): 0.0000
# Symmetry: F-43m (216)
# Total magnetic moment (μB per formula unit): 0.00
# ΔE_f (meV per atom): -460

***

(5)
# PBE-GGA Pm7Sn2Rh, optimized geometry
data_Pm7Sn2Rh
_chemical_formula_sum 'Pm7 Sn2 Rh1'
_space_group_name_H-M_alt 'P 1'
_space_group_IT_number 1
_space_group_name_Hall 'P 1'
_cell_length_a 7.772
_cell_length_b 7.772
_cell_length_c 7.772
_cell_angle_alpha 60.00
_cell_angle_beta 60.00
_cell_angle_gamma 60.00
loop_
_atom_site_label
_atom_site_type_symbol
_atom_site_fract_x
_atom_site_fract_y
_atom_site_fract_z
_atom_site_occupancy
Sn1 Sn 0.250 0.250 0.250 1
Pm1 Pm 0.243 0.243 0.757 1
Pm2 Pm 0.243 0.757 0.243 1
Pm3 Pm 0.757 0.243 0.757 1
Sn2 Sn 0.750 0.750 0.750 1
Rh1 Rh 0.000 0.000 0.000 1
Pm4 Pm 0.757 0.757 0.243 1
Pm5 Pm 0.757 0.243 0.243 1
Pm6 Pm 0.500 0.500 0.500 1
Pm7 Pm 0.243 0.757 0.757 1
# Symmetry: Fm-3m (225)
# Total magnetic moment (μB per formula unit): 0.00
# ΔE_f (meV per atom): 54

***

(6)
# PBE-GGA Pm4Sn8Rh, optimized geometry
data_Pm4Sn8Rh
_chemical_formula_sum 'Pm4 Sn8 Rh1'
_space_group_name_H-M_alt 'P 1'
_space_group_IT_number 1
_space_group_name_Hall 'P 1'
_cell_length_a 4.469
_cell_length_b 4.537
_cell_length_c 17.087
_cell_angle_alpha 90.00
_cell_angle_beta 90.00
_cell_angle_gamma 90.00
loop_
_atom_site_label
_atom_site_type_symbol
_atom_site_fract_x
_atom_site_fract_y
_atom_site_fract_z
_atom_site_occupancy
Sn1 Sn 0.000 0.000 0.461 1
Pm1 Pm 0.000 0.000 0.095 1
Rh1 Rh 0.000 0.000 0.311 1
Sn2 Sn 0.500 0.500 0.755 1
Sn3 Sn 0.000 0.500 0.934 1
Sn4 Sn 0.500 0.000 0.576 1
Sn5 Sn 0.500 0.000 0.231 1
Sn6 Sn 0.000 0.500 0.233 1
Pm2 Pm 0.000 0.500 0.607 1
Pm3 Pm 0.500 0.500 0.395 1
Pm4 Pm 0.500 0.000 0.899 1
Sn7 Sn 0.500 0.500 0.055 1
Sn8 Sn 0.000 0.000 0.752 1
# Symmetry: Pmm2 (25)
# Total magnetic moment (μB per formula unit): 0.00
# ΔE_f (meV per atom): -655

***

(7)
# PBE-GGA PmSn3Rh, optimized geometry
data_PmSn3Rh
_chemical_formula_sum 'Pm4 Sn12 Rh4'
_space_group_name_H-M_alt 'P 1'
_space_group_IT_number 1
_space_group_name_Hall 'P 1'
_cell_length_a 6.517
_cell_length_b 8.957
_cell_length_c 8.957
_cell_angle_alpha 89.34
_cell_angle_beta 78.07
_cell_angle_gamma 78.07
loop_
_atom_site_label
_atom_site_type_symbol
_atom_site_fract_x
_atom_site_fract_y
_atom_site_fract_z
_atom_site_occupancy
Sn1 Sn 0.859 0.966 0.292 1
Rh1 Rh 0.750 0.235 0.765 1
Sn2 Sn 0.535 0.750 0.441 1
Sn3 Sn 0.465 0.250 0.559 1
Rh2 Rh 0.250 0.013 0.987 1
Sn4 Sn 0.965 0.559 0.250 1
Sn5 Sn 0.101 0.756 0.967 1
Sn6 Sn 0.359 0.292 0.966 1
Sn7 Sn 0.601 0.967 0.756 1
Rh3 Rh 0.750 0.987 0.013 1
Sn8 Sn 0.899 0.244 0.033 1
Pm1 Pm 0.017 0.748 0.557 1
Sn9 Sn 0.141 0.034 0.708 1
Sn10 Sn 0.641 0.708 0.034 1
Pm2 Pm 0.517 0.557 0.748 1
Sn11 Sn 0.035 0.441 0.750 1
Pm3 Pm 0.983 0.252 0.443 1
Sn12 Sn 0.399 0.033 0.244 1
Rh4 Rh 0.250 0.765 0.235 1
Pm4 Pm 0.483 0.443 0.252 1
# E above lowest polymorph (eV/atom): 0.0000
# Symmetry: C2/c (15)
# Total magnetic moment (μB per formula unit): 0.00
# ΔE_f (meV per atom): -437

***

(8)
# PBE-GGA Pm3Sn8Rh3, optimized geometry
data_Pm3Sn8Rh3
_chemical_formula_sum 'Pm3 Sn8 Rh3'
_space_group_name_H-M_alt 'P 1'
_space_group_IT_number 1
_space_group_name_Hall 'P 1'
_cell_length_a 4.449
_cell_length_b 10.221
_cell_length_c 10.293
_cell_angle_alpha 49.66
_cell_angle_beta 77.52
_cell_angle_gamma 77.43
loop_
_atom_site_label
_atom_site_type_symbol
_atom_site_fract_x
_atom_site_fract_y
_atom_site_fract_z
_atom_site_occupancy
Sn1 Sn 0.126 0.227 0.521 1
Pm1 Pm 0.754 0.191 0.301 1
Sn2 Sn 0.874 0.773 0.479 1
Rh1 Rh 0.657 0.679 0.006 1
Pm2 Pm 0.246 0.809 0.699 1
Sn3 Sn 0.380 0.991 0.250 1
Rh2 Rh 0.000 0.500 0.500 1
Sn4 Sn 0.813 0.499 0.876 1
Sn5 Sn 0.187 0.501 0.124 1
Pm3 Pm 0.000 0.000 0.000 1
Sn6 Sn 0.620 0.009 0.750 1
Sn7 Sn 0.465 0.363 0.706 1
Sn8 Sn 0.535 0.637 0.294 1
Rh3 Rh 0.343 0.321 0.994 1
# Symmetry: C2/m (12)
# Total magnetic moment (μB per formula unit): 0.00
# ΔE_f (meV per atom): -547

***

(9)
# PBE-GGA Pm3Sn3Rh5, optimized geometry
data_Pm3Sn3Rh5
_chemical_formula_sum 'Pm3 Sn3 Rh5'
_space_group_name_H-M_alt 'P 1'
_space_group_IT_number 1
_space_group_name_Hall 'P 1'
_cell_length_a 4.845
_cell_length_b 8.065
_cell_length_c 8.065
_cell_angle_alpha 120.00
_cell_angle_beta 90.00
_cell_angle_gamma 90.00
loop_
_atom_site_label
_atom_site_type_symbol
_atom_site_fract_x
_atom_site_fract_y
_atom_site_fract_z
_atom_site_occupancy
Rh1 Rh 0.500 0.196 0.196 1
Sn1 Sn 0.500 0.626 0.626 1
Sn2 Sn 0.500 0.374 0.000 1
Rh2 Rh 0.500 0.000 0.804 1
Rh3 Rh 0.500 0.667 0.333 1
Rh4 Rh 0.500 0.804 0.000 1
Pm1 Pm 0.000 0.650 0.000 1
Rh5 Rh 0.500 0.333 0.667 1
Pm2 Pm 0.000 0.350 0.350 1
Pm3 Pm 0.000 0.000 0.650 1
Sn3 Sn 0.500 0.000 0.374 1
# Symmetry: P-62m (189)
# Total magnetic moment (μB per formula unit): 0.00
# ΔE_f (meV per atom): -423

***

(10)
# PBE-GGA Pm2Sn3Rh5, optimized geometry
data_Pm2Sn3Rh5
_chemical_formula_sum 'Pm4 Sn6 Rh10'
_space_group_name_H-M_alt 'P 1'
_space_group_IT_number 1
_space_group_name_Hall 'P 1'
_cell_length_a 4.425
_cell_length_b 6.871
_cell_length_c 13.150
_cell_angle_alpha 90.00
_cell_angle_beta 99.69
_cell_angle_gamma 90.00
loop_
_atom_site_label
_atom_site_type_symbol
_atom_site_fract_x
_atom_site_fract_y
_atom_site_fract_z
_atom_site_occupancy
Rh1 Rh 0.119 0.184 0.238 1
Sn1 Sn 0.385 0.965 0.770 1
Pm1 Pm 0.811 0.341 0.622 1
Sn2 Sn 0.061 0.835 0.121 1
Sn3 Sn 0.615 0.465 0.230 1
Rh2 Rh 0.700 0.132 0.399 1
Rh3 Rh 0.040 0.447 0.079 1
Sn4 Sn 0.786 0.856 0.571 1
Sn5 Sn 0.214 0.356 0.429 1
Rh4 Rh 0.386 0.385 0.772 1
Rh5 Rh 0.881 0.684 0.762 1
Rh6 Rh 0.614 0.885 0.228 1
Rh7 Rh 0.285 0.070 0.571 1
Pm2 Pm 0.189 0.841 0.378 1
Rh8 Rh 0.715 0.570 0.429 1
Sn6 Sn 0.939 0.335 0.879 1
Pm3 Pm 0.479 0.651 0.958 1
Rh9 Rh 0.300 0.632 0.601 1
Rh10 Rh 0.960 0.947 0.921 1
Pm4 Pm 0.521 0.151 0.042 1
# E above lowest polymorph (eV/atom): 0.0000
# Symmetry: Cmc2_1 (36)
# Total magnetic moment (μB per formula unit): 0.00
# ΔE_f (meV per atom): -613

***

(11)
# PBE-GGA PmSn2Rh2, optimized geometry
data_PmSn2Rh2
_chemical_formula_sum 'Pm2 Sn4 Rh4'
_space_group_name_H-M_alt 'P 1'
_space_group_IT_number 1
_space_group_name_Hall 'P 1'
_cell_length_a 4.482
_cell_length_b 4.482
_cell_length_c 10.761
_cell_angle_alpha 90.00
_cell_angle_beta 90.00
_cell_angle_gamma 90.00
loop_
_atom_site_label
_atom_site_type_symbol
_atom_site_fract_x
_atom_site_fract_y
_atom_site_fract_z
_atom_site_occupancy
Sn1 Sn 0.000 0.500 0.370 1
Sn2 Sn 0.500 0.000 0.630 1
Rh1 Rh 0.500 0.500 0.500 1
Rh2 Rh 0.000 0.500 0.132 1
Pm1 Pm 0.000 0.500 0.749 1
Sn3 Sn 0.500 0.500 0.000 1
Pm2 Pm 0.500 0.000 0.251 1
Rh3 Rh 0.000 0.000 0.500 1
Rh4 Rh 0.500 0.000 0.868 1
Sn4 Sn 0.000 0.000 0.000 1
# E above lowest polymorph (eV/atom): 0.0000
# Symmetry: P4/nmm (129)
# Total magnetic moment (μB per formula unit): 0.00
# ΔE_f (meV per atom): -709

***

(12)
# PBE-GGA PmSn2Rh3, optimized geometry
data_PmSn2Rh3
_chemical_formula_sum 'Pm1 Sn2 Rh3'
_space_group_name_H-M_alt 'P 1'
_space_group_IT_number 1
_space_group_name_Hall 'P 1'
_cell_length_a 4.572
_cell_length_b 4.572
_cell_length_c 6.438
_cell_angle_alpha 90.00
_cell_angle_beta 90.00
_cell_angle_gamma 120.00
loop_
_atom_site_label
_atom_site_type_symbol
_atom_site_fract_x
_atom_site_fract_y
_atom_site_fract_z
_atom_site_occupancy
Rh1 Rh 0.333 0.667 0.267 1
Rh2 Rh 0.000 0.000 0.500 1
Sn1 Sn 0.333 0.667 0.684 1
Rh3 Rh 0.667 0.333 0.733 1
Pm1 Pm 0.000 0.000 0.000 1
Sn2 Sn 0.667 0.333 0.316 1
# E above lowest polymorph (eV/atom): 0.0000
# Symmetry: P-3m1 (164)
# Total magnetic moment (μB per formula unit): 0.00
# ΔE_f (meV per atom): -646